P.
The following is a DFT calculation (PBE) of a relaxed Pu2AgC crystal.

Computed properties:
Space-group type: No. 123
V, Å³ per cell: 74.6

abc: 3.1207 3.1207 7.6634
angles: 90.00 90.00 90.00
Each line ends with the local moment (μB).
Positions (direct):
1 C 0.5000 0.5000 0.0000  -0.23
2 Ag 0.5000 0.5000 0.5000  0.04
3 Pu 0.0000 0.0000 0.8183  5.35
4 Pu 0.0000 0.0000 0.1817  5.35

---

Q.
The following is a DFT calculation (PBE) of a relaxed Pu2AgC crystal.

Computed properties:
Space-group type: No. 160
V, Å³ per cell: 80.8

abc: 3.3685 3.3685 8.4560
angles: 90.00 101.46 120.06
Each line ends with the local moment (μB).
Positions (direct):
1 Pu 0.7851 0.3927 0.1777  5.20
2 Pu 0.2146 0.6071 0.8217  5.18
3 Ag 0.6673 0.8334 0.5007  0.03
4 C 0.9999 0.0000 0.9998  -0.20

---

R.
The following is a DFT calculation (PBE) of a relaxed Pu2AgC crystal.

Computed properties:
Space-group type: No. 166
V, Å³ per cell: 85.1

abc: 3.2595 3.2595 9.4339
angles: 80.05 80.05 60.00
Each line ends with the local moment (μB).
Positions (direct):
1 Pu 0.1132 0.1132 0.6604  5.17
2 Pu 0.8868 0.8868 0.3396  5.17
3 Ag 0.0000 0.0000 0.0000  0.03
4 C 0.5000 0.5000 0.5000  -0.20

---

So which one wins? Going from most stable to least: Q, P, R.

---

P.
The following is a DFT calculation (PBE) of a relaxed RbAgC3 crystal.

Computed properties:
Space-group type: No. 221
V, Å³ per cell: 89.2

abc: 4.4681 4.4681 4.4681
angles: 90.00 90.00 90.00
Each line ends with the local moment (μB).
Positions (direct):
1 C 0.0000 0.5000 0.0000  0.67
2 C 0.0000 0.0000 0.5000  0.77
3 C 0.5000 0.0000 0.0000  0.73
4 Rb 0.5000 0.5000 0.5000  0.09
5 Ag 0.0000 0.0000 0.0000  0.20

---

Q.
The following is a DFT calculation (PBE) of a relaxed RbAgC3 crystal.

Computed properties:
Space-group type: No. 221
V, Å³ per cell: 96.2

abc: 4.5820 4.5820 4.5820
angles: 90.00 90.00 90.00
Positions (direct):
1 C 0.0000 0.5000 0.0000
2 C 0.0000 0.0000 0.5000
3 C 0.5000 0.0000 0.0000
4 Rb 0.0000 0.0000 0.0000
5 Ag 0.5000 0.5000 0.5000

---

So which one wins? Going from most stable to least: P, Q.

---

P.
The following is a DFT calculation (PBE) of a relaxed ReAgC3 crystal.

Computed properties:
Space-group type: No. 221
V, Å³ per cell: 66.9

abc: 4.0589 4.0589 4.0589
angles: 90.00 90.00 90.00
Positions (direct):
1 Re 0.0000 0.0000 0.0000
2 C 0.0000 0.5000 0.0000
3 C 0.0000 0.0000 0.5000
4 C 0.5000 0.0000 0.0000
5 Ag 0.5000 0.5000 0.5000

---

Q.
The following is a DFT calculation (PBE) of a relaxed ReAgC3 crystal.

Computed properties:
Space-group type: No. 221
V, Å³ per cell: 62.9

abc: 3.9780 3.9780 3.9780
angles: 90.00 90.00 90.00
Positions (direct):
1 Re 0.5000 0.5000 0.5000
2 C 0.0000 0.5000 0.0000
3 C 0.0000 0.0000 0.5000
4 C 0.5000 0.0000 0.0000
5 Ag 0.0000 0.0000 0.0000

---

So which one wins? Going from most stable to least: P, Q.

---

P.
The following is a DFT calculation (PBE) of a relaxed Re3AgC crystal.

Computed properties:
Space-group type: No. 221
V, Å³ per cell: 69.6

abc: 4.1136 4.1136 4.1136
angles: 90.00 90.00 90.00
Positions (direct):
1 Re 0.0000 0.5000 0.0000
2 Re 0.0000 0.0000 0.5000
3 Re 0.5000 0.0000 0.0000
4 C 0.0000 0.0000 0.0000
5 Ag 0.5000 0.5000 0.5000

---

Q.
The following is a DFT calculation (PBE) of a relaxed Re3AgC crystal.

Computed properties:
Space-group type: No. 221
V, Å³ per cell: 108.8

abc: 4.7738 4.7738 4.7738
angles: 90.00 90.00 90.00
Each line ends with the local moment (μB).
Positions (direct):
1 Re 0.0000 0.5000 0.0000  1.05
2 Re 0.0000 0.0000 0.5000  1.47
3 Re 0.5000 0.0000 0.0000  0.94
4 C 0.5000 0.5000 0.5000  -0.31
5 Ag 0.0000 0.0000 0.0000  0.11

---

So which one wins? Going from most stable to least: P, Q.

---

P.
The following is a DFT calculation (PBE) of a relaxed ReAg2CSe crystal.

Computed properties:
Space-group type: No. 123
V, Å³ per cell: 82.4

abc: 4.5037 4.0607 4.5037
angles: 90.00 90.00 90.00
Each line ends with the local moment (μB).
Positions (direct):
1 Re 0.0000 0.5000 0.0000  0.83
2 C 0.0000 0.0000 0.0000  -0.05
3 Se 0.5000 0.5000 0.5000  0.03
4 Ag 0.0000 0.0000 0.5000  0.01
5 Ag 0.5000 0.0000 0.0000  0.01

---

Q.
The following is a DFT calculation (PBE) of a relaxed ReAg2CSe crystal.

Computed properties:
Space-group type: No. 123
V, Å³ per cell: 105.0

abc: 5.2406 3.8230 5.2406
angles: 90.00 90.00 90.00
Each line ends with the local moment (μB).
Positions (direct):
1 Re 0.0000 0.0000 0.0000  0.45
2 C 0.0000 0.5000 0.0000  -0.04
3 Se 0.5000 0.5000 0.5000  0.02
4 Ag 0.0000 0.0000 0.5000  0.03
5 Ag 0.5000 0.0000 0.0000  0.00

---

So which one wins? Going from most stable to least: P, Q.

---

P.
The following is a DFT calculation (PBE) of a relaxed AgRuC3 crystal.

Computed properties:
Space-group type: No. 221
V, Å³ per cell: 64.8

abc: 4.0156 4.0156 4.0156
angles: 90.00 90.00 90.00
Positions (direct):
1 Ru 0.5000 0.5000 0.5000
2 C 0.0000 0.5000 0.0000
3 C 0.0000 0.0000 0.5000
4 C 0.5000 0.0000 0.0000
5 Ag 0.0000 0.0000 0.0000

---

Q.
The following is a DFT calculation (PBE) of a relaxed AgRuC3 crystal.

Computed properties:
Space-group type: No. 221
V, Å³ per cell: 64.4

abc: 4.0083 4.0083 4.0083
angles: 90.00 90.00 90.00
Positions (direct):
1 Ru 0.0000 0.0000 0.0000
2 C 0.0000 0.5000 0.0000
3 C 0.0000 0.0000 0.5000
4 C 0.5000 0.0000 0.0000
5 Ag 0.5000 0.5000 0.5000

---

So which one wins? Going from most stable to least: Q, P.

---

P.
The following is a DFT calculation (PBE) of a relaxed Ag3RuC crystal.

Computed properties:
Space-group type: No. 221
V, Å³ per cell: 78.5

abc: 4.2811 4.2811 4.2811
angles: 90.00 90.00 90.00
Each line ends with the local moment (μB).
Positions (direct):
1 Ru 0.5000 0.5000 0.5000  1.92
2 C 0.0000 0.0000 0.0000  0.10
3 Ag 0.0000 0.5000 0.0000  0.01
4 Ag 0.0000 0.0000 0.5000  0.01
5 Ag 0.5000 0.0000 0.0000  0.03

---

Q.
The following is a DFT calculation (PBE) of a relaxed Ag3RuC crystal.

Computed properties:
Space-group type: No. 221
V, Å³ per cell: 125.3

abc: 5.0045 5.0045 5.0045
angles: 90.00 90.00 90.00
Positions (direct):
1 Ru 0.0000 0.0000 0.0000
2 C 0.5000 0.5000 0.5000
3 Ag 0.0000 0.5000 0.0000
4 Ag 0.0000 0.0000 0.5000
5 Ag 0.5000 0.0000 0.0000

---

So which one wins? Going from most stable to least: P, Q.

---

P.
The following is a DFT calculation (PBE) of a relaxed Ag2CS crystal.

Computed properties:
Space-group type: No. 122
V, Å³ per cell: 149.7

abc: 5.3731 5.3731 6.4290
angles: 65.30 65.30 90.00
Positions (direct):
1 S 0.0000 0.0000 0.0000
2 S 0.7500 0.2500 0.5000
3 C 0.5000 0.5000 0.0000
4 C 0.2500 0.7500 0.5000
5 Ag 0.5580 0.1250 0.2500
6 Ag 0.1920 0.6250 0.2500
7 Ag 0.3750 0.4420 0.7500
8 Ag 0.8750 0.8080 0.7500

---

Q.
The following is a DFT calculation (PBE) of a relaxed Ag2CS crystal.

Computed properties:
Space-group type: No. 225
V, Å³ per cell: 60.4

abc: 4.4029 4.4029 4.4029
angles: 60.00 60.00 60.00
Each line ends with the local moment (μB).
Positions (direct):
1 S 0.5000 0.5000 0.5000  0.00
2 C 0.0000 0.0000 0.0000  0.11
3 Ag 0.2500 0.2500 0.2500  0.01
4 Ag 0.7500 0.7500 0.7500  0.01

---

So which one wins? Going from most stable to least: P, Q.

---

P.
The following is a DFT calculation (PBE) of a relaxed AgC3S crystal.

Computed properties:
Space-group type: No. 221
V, Å³ per cell: 50.0

abc: 3.6845 3.6845 3.6845
angles: 90.00 90.00 90.00
Positions (direct):
1 S 0.0000 0.0000 0.0000
2 C 0.0000 0.5000 0.0000
3 C 0.0000 0.0000 0.5000
4 C 0.5000 0.0000 0.0000
5 Ag 0.5000 0.5000 0.5000

---

Q.
The following is a DFT calculation (PBE) of a relaxed AgC3S crystal.

Computed properties:
Space-group type: No. 221
V, Å³ per cell: 73.0

abc: 4.1791 4.1791 4.1791
angles: 90.00 90.00 90.00
Each line ends with the local moment (μB).
Positions (direct):
1 S 0.5000 0.5000 0.5000  -0.28
2 C 0.0000 0.5000 0.0000  0.47
3 C 0.0000 0.0000 0.5000  0.39
4 C 0.5000 0.0000 0.0000  0.36
5 Ag 0.0000 0.0000 0.0000  0.11

---

So which one wins? Going from most stable to least: P, Q.

---

P.
The following is a DFT calculation (PBE) of a relaxed Ag3SbC crystal.

Computed properties:
Space-group type: No. 221
V, Å³ per cell: 147.2

abc: 5.2804 5.2804 5.2804
angles: 90.00 90.00 90.00
Each line ends with the local moment (μB).
Positions (direct):
1 Sb 0.0000 0.0000 0.0000  -0.01
2 C 0.5000 0.5000 0.5000  0.96
3 Ag 0.0000 0.5000 0.0000  -0.01
4 Ag 0.0000 0.0000 0.5000  0.01
5 Ag 0.5000 0.0000 0.0000  -0.01

---

Q.
The following is a DFT calculation (PBE) of a relaxed Ag3SbC crystal.

Computed properties:
Space-group type: No. 221
V, Å³ per cell: 90.5

abc: 4.4892 4.4892 4.4892
angles: 90.00 90.00 90.00
Positions (direct):
1 Sb 0.5000 0.5000 0.5000
2 C 0.0000 0.0000 0.0000
3 Ag 0.0000 0.5000 0.0000
4 Ag 0.0000 0.0000 0.5000
5 Ag 0.5000 0.0000 0.0000

---

So which one wins? Going from most stable to least: Q, P.

---

P.
The following is a DFT calculation (PBE) of a relaxed AgSb3C crystal.

Computed properties:
Space-group type: No. 221
V, Å³ per cell: 153.4

abc: 5.3532 5.3532 5.3532
angles: 90.00 90.00 90.00
Each line ends with the local moment (μB).
Positions (direct):
1 Sb 0.0000 0.5000 0.0000  -0.09
2 Sb 0.0000 0.0000 0.5000  -0.15
3 Sb 0.5000 0.0000 0.0000  -0.16
4 C 0.5000 0.5000 0.5000  0.78
5 Ag 0.0000 0.0000 0.0000  -0.02

---

Q.
The following is a DFT calculation (PBE) of a relaxed AgSb3C crystal.

Computed properties:
Space-group type: No. 221
V, Å³ per cell: 110.0

abc: 4.7914 4.7914 4.7914
angles: 90.00 90.00 90.00
Positions (direct):
1 Sb 0.0000 0.5000 0.0000
2 Sb 0.0000 0.0000 0.5000
3 Sb 0.5000 0.0000 0.0000
4 C 0.0000 0.0000 0.0000
5 Ag 0.5000 0.5000 0.5000

---

So which one wins? Going from most stable to least: Q, P.

---

P.
The following is a DFT calculation (PBE) of a relaxed AgSbTe2C crystal.

Computed properties:
Space-group type: No. 123
V, Å³ per cell: 158.6

abc: 5.4636 5.4636 5.3127
angles: 90.00 90.00 90.00
Each line ends with the local moment (μB).
Positions (direct):
1 Sb 0.0000 0.0000 0.5000  -0.09
2 C 0.5000 0.5000 0.5000  0.86
3 Te 0.0000 0.5000 0.0000  -0.08
4 Te 0.5000 0.0000 0.0000  -0.08
5 Ag 0.0000 0.0000 0.0000  0.00

---

Q.
The following is a DFT calculation (PBE) of a relaxed AgSbTe2C crystal.

Computed properties:
Space-group type: No. 123
V, Å³ per cell: 112.3

abc: 4.8975 4.8975 4.6821
angles: 90.00 90.00 90.00
Positions (direct):
1 Sb 0.0000 0.0000 0.5000
2 C 0.0000 0.0000 0.0000
3 Te 0.0000 0.5000 0.0000
4 Te 0.5000 0.0000 0.0000
5 Ag 0.5000 0.5000 0.5000

---

So which one wins? Going from most stable to least: Q, P.